DFT (PBE-GGA) results for a relaxed structure of Pm6Pr2Hg.

For the formation energy, the calculation gives -0.008 eV/atom. Its mass density is 7.35 g/cm3. The calculation puts the uncorrected energy at -4.2711 eV/atom. As for the space-group type: No. 71. Its crystal system is orthorhombic.

```
9
Lattice="-1.8349 5.2557 7.9194 1.8349 -5.2557 7.9194 1.8349 5.2557 -7.9194" Properties=species:S:1:pos:R:3 pbc="T T T"
Pm 1.8349 3.5966 -5.0525
Pm 1.8349 2.8294 0.0000
Pm 0.0000 1.6591 2.8669
Pm 1.8349 3.5966 5.0525
Pm 0.0000 2.4262 7.9194
Pm 0.0000 1.6591 12.9719
Pr 1.8349 0.0000 5.6987
Pr 0.0000 5.2557 2.2207
Hg 0.0000 0.0000 0.0000
```